# 1
## TbHo5Sc5 (PBE)

Data for crystalline TbHo5Sc5 at its relaxed geometry.

Theoretical density = 6.19 g/cm3
Electronic total energy = -5.14 eV/atom
Size of the total moment = 2.4 μB per formula unit

Lattice parameters (Å, degrees): 5.769 5.769 11.257 90.00 90.00 120.00
Sites, in units of the cell vectors:
Sc1 0.329 0.165 0.500
Sc2 0.835 0.165 0.500
Sc3 0.835 0.671 0.500
Sc4 0.000 0.000 0.269
Sc5 0.000 0.000 0.731
Ho1 0.333 0.667 0.320
Ho2 0.000 0.000 0.000
Ho3 0.333 0.667 0.680
Ho4 0.667 0.333 0.840
Ho5 0.667 0.333 0.160
Tb1 0.333 0.667 0.000

# 2
## Tb7Ho4Sc (PBE)

Data for crystalline Tb7Ho4Sc at its relaxed geometry.

Energy above the lowest structure with this stoichiometry = 0.167 eV per atom
Theoretical density = 7.91 g/cm3
Size of the total moment = 0.2 μB per formula unit

Lattice parameters (Å, degrees): 5.541 9.609 9.460 53.24 72.97 73.24
Sites, in units of the cell vectors:
Tb1 0.891 0.422 0.796
Tb2 0.155 0.110 0.581
Tb3 0.299 0.654 0.749
Tb4 0.701 0.346 0.251
Tb5 0.109 0.578 0.204
Tb6 0.500 0.000 0.000
Tb7 0.845 0.890 0.419
Sc1 0.000 0.000 0.000
Ho1 0.472 0.693 0.362
Ho2 0.317 0.215 0.152
Ho3 0.683 0.785 0.848
Ho4 0.528 0.307 0.638

# 3
## Tb5Ho5Sc2 (PBE)

Data for crystalline Tb5Ho5Sc2 at its relaxed geometry.

Energy above the lowest structure with this stoichiometry = 0.038 eV per atom
Theoretical density = 7.82 g/cm3
Size of the total moment = 0.0 μB per formula unit

Lattice parameters (Å, degrees): 5.506 6.503 11.789 106.60 90.00 115.04
Sites, in units of the cell vectors:
Tb1 0.293 0.586 0.953
Tb2 0.536 0.073 0.214
Tb3 0.707 0.414 0.047
Tb4 0.500 0.000 0.500
Tb5 0.464 0.927 0.786
Ho1 0.249 0.497 0.252
Ho2 0.000 0.000 0.000
Ho3 0.751 0.503 0.748
Ho4 0.203 0.406 0.545
Ho5 0.797 0.594 0.455
Sc1 0.962 0.923 0.290
Sc2 0.038 0.077 0.710

# 4
## Tb2Ho5Sc2 (PBE)

Data for crystalline Tb2Ho5Sc2 at its relaxed geometry.

Energy above the lowest structure with this stoichiometry = 0.247 eV per atom
Theoretical density = 7.49 g/cm3
Size of the total moment = 0.0 μB per formula unit

Lattice parameters (Å, degrees): 11.577 6.415 9.899 108.91 125.79 90.00
Sites, in units of the cell vectors:
Sc1 0.596 0.114 0.236
Sc2 0.859 0.377 0.764
Sc3 0.404 0.877 0.764
Sc4 0.141 0.614 0.236
Ho1 0.232 0.762 0.886
Ho2 0.625 0.624 0.705
Ho3 0.419 0.419 0.295
Ho4 0.768 0.876 0.114
Ho5 0.581 0.124 0.705
Ho6 0.847 0.376 0.114
Ho7 0.058 0.895 0.500
Ho8 0.153 0.262 0.886
Ho9 0.942 0.395 0.500
Ho10 0.375 0.919 0.295
Tb1 0.754 0.810 0.500
Tb2 0.246 0.310 0.500
Tb3 0.500 0.459 0.000
Tb4 0.000 0.959 0.000

# 5
## TbHo7Sc2 (PBE)

Data for crystalline TbHo7Sc2 at its relaxed geometry.

Theoretical density = 6.40 g/cm3
Electronic total energy = -4.27 eV/atom
Size of the total moment = 0.0 μB per formula unit

Lattice parameters (Å, degrees): 5.527 8.717 8.717 119.83 90.00 90.00
Sites, in units of the cell vectors:
Ho1 0.000 0.762 0.238
Ho2 0.500 0.939 0.699
Ho3 0.500 0.699 0.939
Ho4 0.500 0.061 0.301
Ho5 0.500 0.301 0.061
Ho6 0.500 0.500 0.500
Ho7 0.000 0.238 0.762
Tb1 0.000 0.000 0.000
Sc1 0.500 0.705 0.295
Sc2 0.500 0.295 0.705

# 6
## TbHo4Sc3 (PBE)

Data for crystalline TbHo4Sc3 at its relaxed geometry.

Theoretical density = 6.87 g/cm3
Electronic total energy = -5.22 eV/atom
Size of the total moment = 0.0 μB per formula unit

Lattice parameters (Å, degrees): 6.054 7.008 10.871 90.00 90.00 90.00
Sites, in units of the cell vectors:
Ho1 0.647 0.131 0.000
Ho2 0.140 0.870 0.000
Ho3 0.984 0.131 0.746
Ho4 0.984 0.131 0.254
Ho5 0.147 0.869 0.500
Ho6 0.484 0.869 0.246
Ho7 0.484 0.869 0.754
Ho8 0.640 0.130 0.500
Tb1 0.651 0.619 0.500
Tb2 0.151 0.381 0.000
Sc1 0.151 0.379 0.500
Sc2 0.480 0.380 0.751
Sc3 0.651 0.621 0.000
Sc4 0.980 0.620 0.749
Sc5 0.980 0.620 0.251
Sc6 0.480 0.380 0.249

# 7
## Tb3Ho6Sc2 (PBE)

Data for crystalline Tb3Ho6Sc2 at its relaxed geometry.

Energy above the lowest structure with this stoichiometry = 0.000 eV per atom
Theoretical density = 7.84 g/cm3
Size of the total moment = 0.0 μB per formula unit

Lattice parameters (Å, degrees): 3.497 3.497 31.187 86.79 86.79 60.00
Sites, in units of the cell vectors:
Ho1 0.093 0.093 0.720
Ho2 0.818 0.818 0.547
Ho3 0.636 0.636 0.093
Ho4 0.907 0.907 0.280
Ho5 0.364 0.364 0.907
Ho6 0.182 0.182 0.453
Tb1 0.729 0.729 0.814
Tb2 0.271 0.271 0.186
Tb3 0.000 0.000 0.000
Sc1 0.456 0.456 0.633
Sc2 0.544 0.544 0.367

# 8
## Tb7Ho3Sc (PBE)

Data for crystalline Tb7Ho3Sc at its relaxed geometry.

Energy above the lowest structure with this stoichiometry = 0.000 eV per atom
Theoretical density = 7.86 g/cm3
Size of the total moment = 0.0 μB per formula unit

Lattice parameters (Å, degrees): 9.730 9.730 13.059 100.76 100.76 138.41
Sites, in units of the cell vectors:
Tb1 0.914 0.086 0.750
Tb2 0.914 0.086 0.250
Tb3 0.880 0.560 0.471
Tb4 0.560 0.880 0.972
Tb5 0.499 0.499 0.250
Tb6 0.440 0.120 0.028
Tb7 0.560 0.880 0.471
Tb8 0.880 0.560 0.972
Tb9 0.440 0.120 0.529
Tb10 0.120 0.440 0.028
Tb11 0.086 0.914 0.250
Tb12 0.086 0.914 0.750
Tb13 0.501 0.501 0.750
Tb14 0.120 0.440 0.529
Ho1 0.000 0.000 0.500
Ho2 0.000 0.000 0.000
Ho3 0.500 0.000 0.750
Ho4 0.000 0.500 0.250
Ho5 0.500 0.000 0.250
Ho6 0.000 0.500 0.750
Sc1 0.500 0.500 0.000
Sc2 0.500 0.500 0.500